Entry 1:
Crystalline Cu4Mo at its relaxed geometry. Source: the Alexandria database, functional PBE.

The space group is Pm-3m (No. 221) and the conventional cell measures 4.6450, 4.6450 and 4.6450 Å, with angles of 90.00, 90.00 and 90.00 degrees. The distinct sites, in fractional coordinates, are Cu at (0.0000, 0.0000, 0.0000), Cu at (0.0000, 0.5000, 0.5000) and Mo at (0.5000, 0.5000, 0.5000).

The formation energy is 1675.8 meV per atom.



Entry 2:
Crystalline NaMn3Si at its relaxed geometry. Source: the Alexandria database, functional PBE.

The space group is Pm-3m (No. 221) and the conventional cell measures 4.6148, 4.6148 and 4.6148 Å, with angles of 90.00, 90.00 and 90.00 degrees. The distinct sites, in fractional coordinates, are Na at (0.0000, 0.0000, 0.0000), Mn at (0.0000, 0.5000, 0.5000) and Si at (0.5000, 0.5000, 0.5000).

Its formation energy without anion corrections is 0.640 eV per atom.



Entry 3:
Crystalline Sr2MgScO5 at its relaxed geometry. Source: the Alexandria database, functional PBE.

The space group is Cmc2_1 (No. 36) and the conventional cell measures 3.5912, 13.6133 and 10.3350 Å, with angles of 90.00, 90.00 and 90.00 degrees. The distinct sites, in fractional coordinates, are Sr at (0.0000, 0.1070, 0.0000), Sr at (0.0000, 0.1326, 0.6182), Mg at (0.0000, 0.2230, 0.3367), Sc at (0.0000, 0.4634, 0.7952), O at (0.0000, 0.0624, 0.3737), O at (0.0000, 0.2831, 0.9645), O at (0.0000, 0.3071, 0.7294), O at (0.0000, 0.3777, 0.3211) and O at (0.0000, 0.4930, 0.6064).

Its formation energy without anion corrections is -2.696 eV per atom.



Entry 4:
Crystalline Nd4As2PS at its relaxed geometry. Source: the Alexandria database, functional PBE.

The space group is P2/m (No. 10) and the conventional cell measures 7.2647, 4.2032 and 7.2738 Å, with angles of 90.00, 109.43 and 90.00 degrees. The distinct sites, in fractional coordinates, are Nd at (0.2449, 0.0000, 0.2458), Nd at (0.2472, 0.5000, 0.7522), As at (0.5000, 0.0000, 0.0000), As at (0.5000, 0.5000, 0.5000), P at (0.0000, 0.5000, 0.0000) and S at (0.0000, 0.0000, 0.5000).

Its formation energy without anion corrections is -1.686 eV per atom.



Entry 5:
Crystalline La2Pm3ThSe6 at its relaxed geometry. Source: the Alexandria database, functional PBE.

The space group is C2/m (No. 12) and the conventional cell measures 18.4669, 4.2304 and 8.4865 Å, with angles of 90.00, 103.56 and 90.00 degrees. The distinct sites, in fractional coordinates, are La at (0.1645, 0.0000, 0.3303), Pm at (0.0000, 0.5000, 0.5000), Pm at (0.1668, 0.0000, 0.8352), Th at (0.0000, 0.5000, 0.0000), Se at (0.0030, 0.0000, 0.7495), Se at (0.1661, 0.5000, 0.5880) and Se at (0.1672, 0.5000, 0.0783).

Its formation energy without anion corrections is -1.835 eV per atom.



Entry 6:
Crystalline NdAl5Ni3 at its relaxed geometry. Source: the Alexandria database, functional PBE.

The space group is Cmcm (No. 63) and the conventional cell measures 3.9470, 12.3468 and 12.2163 Å, with angles of 90.00, 90.00 and 90.00 degrees. The distinct sites, in fractional coordinates, are Nd at (0.0000, 0.1673, 0.2500), Al at (0.0000, 0.0000, 0.0000), Al at (0.0000, 0.2035, 0.5652), Al at (0.0000, 0.4449, 0.1485), Ni at (0.0000, 0.1217, 0.7500) and Ni at (0.0000, 0.3922, 0.5376).

The formation energy is -524.5 meV per atom.



It is found that the energy values, taken in the order of the records, are -18.84 -31.05 -241.38 -51.40 -148.90 -182.18 eV for the cell shown.